Record 1
This record from the Open Quantum Materials Database describes a relaxed structure of Zn2FeCo. The functional is PBE.

abc: 4.101 4.101 2.862
angles: 90.00 90.00 90.00
Space group P4/mmm (No. 123)
One atom of each set of equivalent atoms:
Zn1 0.000 0.500 0.000 [2 per cell]
Fe1 0.000 0.000 0.500 [1 per cell]
Co1 0.500 0.500 0.500 [1 per cell]

M_tot (μB per formula unit): 2.431
Polymorph energy (0 for the lowest one) (eV/f.u.): 0.301
Mass density (g/cm³): 8.47
ΔE_f (kJ/mol of formula units): 35

Record 2
This record from the Open Quantum Materials Database describes a relaxed structure of Tc2Se. The functional is PBE.

abc: 7.355 7.355 7.355
angles: 90.00 90.00 90.00
Space group Fd-3m (No. 227, origin choice 2)
One atom of each set of equivalent atoms:
Tc1 0.000 0.000 0.000 [16 per cell]
Se1 0.125 0.125 0.625 [8 per cell]

M_tot (μB per formula unit): 0.012
Mass density (g/cm³): 9.18
Electronic total energy (eV/atom): -7.261